A relaxed CeNiSn crystal, computed with PBE-GGA.

Geometry as POSCAR:
```
CeNiSn
1.0
-2.328 -0.167 -3.848
-1.997 -1.078 3.886
-2.073 7.235 0.941
Ni Ce Sn
2 2 2
Direct
0.667 0.333 0.750
0.333 0.667 0.250
0.000 0.000 0.000
0.000 0.000 0.500
0.333 0.667 0.750
0.667 0.333 0.250
```

Size of the total moment = 0.23 μB per formula unit
Energy of formation = -0.541 eV per atom
Raw total energy = -0.212 Ha/atom
Space group = P6_3/mmc